Here is a geometry-optimized KCoP3O9 structure from OQMD. Energies are from GGA+U.

Distance to the lowest polymorph of the same formula   0 meV/atom
Calculated volume   183 Å³/f.u.

Unit cell a=6.5947 b=6.5947 c=9.7169 alpha=90.00 beta=90.00 gamma=120.00
Last column: nearest neighbours and their distance in Å.
Fractional coordinates of all 28 atoms:
Co: 0.0000 0.0000 0.0000  6 O 2.08
Co: 0.0000 0.0000 0.5000  6 O 2.08
K: 0.6667 0.3333 0.0000  6 O 2.70
K: 0.6667 0.3333 0.5000  6 O 2.70
O: 0.7390 0.0036 0.1176  1 P 1.49
O: 0.2647 0.2610 0.1176  1 P 1.49
O: 0.9964 0.7353 0.1176  1 P 1.49
O: 0.0924 0.4715 0.2500  2 P 1.61
O: 0.5285 0.6210 0.2500  2 P 1.61
O: 0.3790 0.9076 0.2500  2 P 1.61
O: 0.7390 0.0036 0.3824  1 P 1.49
O: 0.2647 0.2610 0.3824  1 P 1.49
O: 0.9964 0.7353 0.3824  1 P 1.49
O: 0.2647 0.0036 0.6176  1 P 1.49
O: 0.9964 0.2610 0.6176  1 P 1.49
O: 0.7390 0.7353 0.6176  1 P 1.49
O: 0.3790 0.4715 0.7500  2 P 1.61
O: 0.0924 0.6210 0.7500  2 P 1.61
O: 0.5285 0.9076 0.7500  2 P 1.61
O: 0.2647 0.0036 0.8824  1 P 1.49
O: 0.9964 0.2610 0.8824  1 P 1.49
O: 0.7390 0.7353 0.8824  1 P 1.49
P: 0.2790 0.3827 0.2500  4 O 1.49-1.61
P: 0.1037 0.7210 0.2500  4 O 1.49-1.61
P: 0.6173 0.8963 0.2500  4 O 1.49-1.61
P: 0.1037 0.3827 0.7500  4 O 1.49-1.61
P: 0.6173 0.7210 0.7500  4 O 1.49-1.61
P: 0.2790 0.8963 0.7500  4 O 1.49-1.61